[1]
An optimized crystal structure of Na2GePbS4, computed with PBE.

a = 6.106 Å, b = 7.420 Å, c = 9.560 Å
α = 90.00°, β = 90.00°, γ = 90.00°
Atoms (fractional coordinates):
Na  0.454  0.318  0.252
Na  0.454  0.318  0.748
Na  0.954  0.682  0.752
Na  0.954  0.682  0.248
Ge  0.510  0.833  0.500
Ge  0.010  0.167  0.000
Pb  0.956  0.196  0.500
Pb  0.456  0.804  0.000
S  0.380  0.156  0.000
S  0.880  0.844  0.500
S  0.408  0.127  0.500
S  0.908  0.873  0.000
S  0.419  0.692  0.697
S  0.919  0.308  0.197
S  0.919  0.308  0.803
S  0.419  0.692  0.303

## Properties
SG ... Pmn2_1 (31)
Energy ... -4.18 eV/atom
Magnetic moment ... 0.00 μB per formula unit
Fermi-level density of states ... 0.0 states/eV per cell
Energy relative to the elements, uncorrected ... -0.75 eV per atom

[2]
An optimized crystal structure of Na4Ge2PbS6, computed with PBE.

a = 6.881 Å, b = 6.881 Å, c = 7.802 Å
α = 81.52°, β = 81.52°, γ = 119.85°
Atoms (fractional coordinates):
Na  0.824  0.176  0.000
Na  0.177  0.823  0.000
Na  0.499  0.501  0.000
Na  0.666  0.334  0.500
Ge  0.052  0.052  0.337
Ge  0.948  0.948  0.663
Pb  0.335  0.665  0.500
S  0.083  0.394  0.248
S  0.394  0.083  0.246
S  0.917  0.606  0.754
S  0.606  0.917  0.752
S  0.772  0.773  0.247
S  0.227  0.228  0.753

## Properties
SG ... C2 (5)
Energy ... -4.15 eV/atom
Magnetic moment ... 0.00 μB per formula unit
Fermi-level density of states ... 0.0 states/eV per cell
Energy relative to the elements, uncorrected ... -0.85 eV per atom

Look up the magnetic moment of the second one. 0.00 μB per formula unit

The highest energy relative to the elements, uncorrected belongs to which entry? Na2GePbS4

The highest energy belongs to which entry? Na4Ge2PbS6

Among the records above, which one has the lowest energy? Na2GePbS4